1.
Density functional theory data (PBE) for an optimized crystal structure of Tb4F15.

abc: 13.1065 13.1065 12.5869
angles: 90.00 90.00 120.00
Space group R-3c (No. 167, hexagonal axes)
Symmetry-distinct sites (fractional):
Tb  0.0000  0.0000  0.2500 [6 per cell]
Tb  0.0000  0.4346  0.2500 [18 per cell]
F  0.0000  0.2859  0.7500 [18 per cell]
F  0.0513  0.4650  0.6368 [36 per cell]
F  0.0706  0.1582  0.6485 [36 per cell]

* total magnetic moment: 3.10 μB/f.u.
* crystal system: trigonal
* DOS at the Fermi energy: 75.73 states/eV/cell
* raw formation energy: -64.527 eV/f.u.
* DFT total energy: -5.85 eV per atom


2.
Density functional theory data (PBE) for an optimized crystal structure of Tb4Te5F.

abc: 16.010 4.395 11.773
angles: 90.00 107.42 90.00
Space group C2/m (No. 12)
Symmetry-distinct sites (fractional):
Tb  0.004  0.000  0.328 [4 per cell]
Tb  0.143  0.500  0.073 [4 per cell]
Te  0.000  0.500  0.500 [2 per cell]
Te  0.151  0.000  0.886 [4 per cell]
Te  0.167  0.000  0.261 [4 per cell]
F  0.000  0.500  0.000 [2 per cell]

* total magnetic moment: 0.00 μB/f.u.
* crystal system: monoclinic
* DOS at the Fermi energy: 3.57 states/eV/cell
* raw formation energy: -15.643 eV/f.u.
* DFT total energy: -5.17 eV per atom


3.
Density functional theory data (PBE) for an optimized crystal structure of TbTeF.

abc: 4.1359 4.1359 4.3579
angles: 90.00 90.00 120.00
Space group P-6m2 (No. 187)
Symmetry-distinct sites (fractional):
Tb  0.0000  0.0000  0.0000 [1 per cell]
Te  0.6667  0.3333  0.5000 [1 per cell]
F  0.3333  0.6667  0.0000 [1 per cell]

* total magnetic moment: 0.00 μB/f.u.
* crystal system: hexagonal
* raw formation energy: -7.731 eV/f.u.
* DFT total energy: -5.79 eV per atom


4.
Density functional theory data (PBE) for an optimized crystal structure of TbTeF.

abc: 4.080 4.080 7.570
angles: 90.00 90.00 90.00
Space group P4/nmm (No. 129, origin choice 2)
Symmetry-distinct sites (fractional):
Tb  0.250  0.250  0.197 [2 per cell]
Te  0.250  0.250  0.641 [2 per cell]
F  0.250  0.750  0.000 [2 per cell]

* total magnetic moment: 0.00 μB/f.u.
* crystal system: tetragonal
* DOS at the Fermi energy: 0.04 states/eV/cell
* raw formation energy: -7.639 eV/f.u.
* DFT total energy: -5.76 eV per atom


5.
Density functional theory data (PBE) for an optimized crystal structure of TbTeF.

abc: 11.252 3.967 7.391
angles: 90.00 120.07 90.00
Space group C2/m (No. 12)
Symmetry-distinct sites (fractional):
Tb  0.174  0.000  0.239 [4 per cell]
Te  0.077  0.500  0.842 [4 per cell]
F  0.222  0.000  0.587 [4 per cell]

* total magnetic moment: 0.00 μB/f.u.
* crystal system: monoclinic
* raw formation energy: -7.732 eV/f.u.
* DFT total energy: -5.79 eV per atom


6.
Density functional theory data (PBE) for an optimized crystal structure of Tb2ThF11.

abc: 8.414 10.370 11.424
angles: 90.00 90.00 90.00
Space group Ibam (No. 72)
Symmetry-distinct sites (fractional):
Tb  0.158  0.190  0.000 [8 per cell]
Th  0.000  0.500  0.250 [4 per cell]
F  0.000  0.000  0.000 [4 per cell]
F  0.101  0.328  0.141 [16 per cell]
F  0.111  0.192  0.500 [8 per cell]
F  0.208  0.422  0.367 [16 per cell]

* total magnetic moment: 1.12 μB/f.u.
* crystal system: orthorhombic
* raw formation energy: -53.370 eV/f.u.
* DFT total energy: -6.47 eV per atom